Cs2BeVCl6 after structural relaxation. Source: Alexandria, functional PBE-GGA.

## Properties
Mass density   3.4 g/cm³
Formation energy without anion corrections   -1399.6 meV per atom
Raw total energy   -3.9628 eV/atom

POSCAR file:
```
Cs2BeVCl6
1.0
-3.404 3.404 5.667
3.404 -3.404 5.667
3.404 3.404 -5.667
Cs Be V Cl
2 1 1 6
direct
0.250 0.750 0.500
0.750 0.250 0.500
0.000 0.000 0.000
0.500 0.500 0.000
0.227 0.227 0.454
0.227 0.773 0.000
0.285 0.285 0.000
0.715 0.715 0.000
0.773 0.227 0.000
0.773 0.773 0.546
```



Cs2AsPb after structural relaxation. Source: Alexandria, functional PBE-GGA.

## Properties
Mass density   4.9 g/cm³
Energy of formation from the pure elements   -1.22 eV per formula unit
Raw total energy   -2.8212 eV/atom

POSCAR file:
```
Cs2AsPb
1.0
4.349 -5.595 0.000
4.349 5.595 0.000
-2.236 0.000 3.815
Cs As Pb
2 1 1
direct
0.187 0.813 0.000
0.813 0.187 0.000
0.721 0.721 0.222
0.490 0.490 0.492
```



Cs7Rb3Se after structural relaxation. Source: Alexandria, functional PBE-GGA.

## Properties
Mass density   2.0 g/cm³
Formation energy without anion corrections   -277.1 meV per atom
Raw total energy   -1.4009 eV/atom

POSCAR file:
```
Cs7Rb3Se
1.0
6.152 -7.128 0.000
6.152 7.128 0.000
-6.099 0.000 12.097
Cs Rb Se
7 3 1
direct
0.000 0.000 0.000
0.070 0.414 0.853
0.192 0.543 0.251
0.414 0.070 0.853
0.525 0.525 0.679
0.543 0.192 0.251
0.616 0.616 0.116
0.082 0.082 0.427
0.635 0.977 0.550
0.977 0.635 0.550
0.307 0.307 0.054
```



InRh2Br after structural relaxation. Source: Alexandria, functional PBE-GGA.

## Properties
Mass density   9.2 g/cm³
Formation energy without anion corrections   256.8 meV per atom
Raw total energy   -4.5218 eV/atom

POSCAR file:
```
InRh2Br
1.0
3.096 0.000 0.000
0.000 4.415 0.000
0.000 0.000 5.318
In Rh Br
1 2 1
direct
0.000 0.000 0.000
0.000 0.500 0.500
0.500 0.500 0.000
0.500 0.000 0.500
```



AsSe2NCl after structural relaxation. Source: Alexandria, functional PBE-GGA.

## Properties
Mass density   4.0 g/cm³
Formation energy without anion corrections   2260.1 meV per atom
Raw total energy   -2.0980 eV/atom

POSCAR file:
```
AsSe2NCl
1.0
4.801 0.000 0.000
0.000 4.801 0.000
0.000 0.000 5.033
As Se N Cl
1 2 1 1
direct
0.000 0.000 0.000
0.000 0.500 0.500
0.500 0.000 0.500
0.500 0.500 0.000
0.000 0.000 0.500
```



HgIrBr2 after structural relaxation. Source: Alexandria, functional PBE-GGA.

## Properties
Mass density   9.2 g/cm³
Formation energy without anion corrections   368.3 meV per atom
Raw total energy   -2.7589 eV/atom

POSCAR file:
```
HgIrBr2
1.0
1.573 0.908 11.639
-1.573 0.908 11.639
0.000 -1.816 11.639
Hg Ir Br
1 1 2
direct
0.000 0.000 0.000
0.500 0.500 0.500
0.432 0.432 0.432
0.568 0.568 0.568
```